The following is a PBE-GGA calculation of a geometry-optimized Sr4Bi5Pt2 structure, from the Alexandria database. Values from VASP.

Cell and atoms, written as Quantum ESPRESSO input:
```
&SYSTEM
  ibrav = 0, nat = 11, ntyp = 3
/
ATOMIC_SPECIES
Sr 87.62 Sr.upf
Bi 208.98 Bi.upf
Pt 195.08 Pt.upf
CELL_PARAMETERS angstrom
4.699 0.000 0.000
0.000 7.998 0.288
0.000 -0.421 9.422
ATOMIC_POSITIONS angstrom
Sr 2.349 5.934 5.777
Sr 2.349 6.213 1.516
Sr 2.349 1.364 8.193
Sr 2.349 1.642 3.933
Bi 0.000 3.999 0.144
Bi 0.000 4.414 3.374
Bi 0.000 6.714 8.379
Bi 0.000 3.163 6.335
Bi 0.000 0.863 1.330
Pt 0.000 0.450 5.884
Pt 0.000 7.127 3.825
```

Computed properties:
The formation energy is -16.203 kcal/mol of atoms. The value obtained for the density is 8.36 g/cm³.